No. 1
VASP calculation (PBE-GGA) on a geometry-optimized LaTb2Ga2 structure.

energy: -4.50 eV/atom
V: 131.67 Å³/f.u.

a b c (Å): 8.4267 8.4267 3.7084
angles (deg): 90.00 90.00 90.00
Sites, in units of the cell vectors:
La1 0.0000 0.0000 0.0000
La2 0.5000 0.5000 0.0000
Tb1 0.1758 0.3242 0.5000
Tb2 0.3242 0.8242 0.5000
Tb3 0.6758 0.1758 0.5000
Tb4 0.8242 0.6758 0.5000
Ga1 0.1174 0.6174 0.0000
Ga2 0.3826 0.1174 0.0000
Ga3 0.6174 0.8826 0.0000
Ga4 0.8826 0.3826 0.0000

No. 2
VASP calculation (PBE-GGA) on a geometry-optimized La4TbGa2 structure.

energy: -4.50 eV/atom
V: 228.90 Å³/f.u.

a b c (Å): 9.4588 9.4588 9.4588
angles (deg): 33.44 33.44 33.44
Sites, in units of the cell vectors:
La1 0.0886 0.0886 0.0886
La2 0.2775 0.2775 0.2775
La3 0.7225 0.7225 0.7225
La4 0.9114 0.9114 0.9114
Tb1 0.5000 0.5000 0.5000
Ga1 0.3928 0.3928 0.3928
Ga2 0.6072 0.6072 0.6072